## a
The following is a DFT calculation (GGA-PBE) of a relaxed La2Nd7Sc2 crystal.

Calculated values
total magnetic moment: 0.00 Bohr magnetons per cell

Geometry as POSCAR:
```
La2Nd7Sc2
1.0
8.259 0.818 1.180
0.308 6.842 0.409
0.308 -2.020 6.550
La Nd Sc
2 7 2
Direct
0.816 0.428 0.428
0.184 0.572 0.572
0.179 0.085 0.507
0.821 0.493 0.915
0.821 0.915 0.493
0.179 0.507 0.085
0.000 0.000 0.000
0.471 0.807 0.807
0.529 0.193 0.193
0.500 0.289 0.711
0.500 0.711 0.289
```

=====

## b
The following is a DFT calculation (GGA-PBE) of a relaxed La2Nd7Sc2 crystal.

Calculated values
total magnetic moment: 0.00 Bohr magnetons per cell

Geometry as POSCAR:
```
La2Nd7Sc2
1.0
-0.255 6.619 -1.082
-2.235 -2.679 -7.943
-5.805 -7.327 3.505
La Nd Sc
2 7 2
Direct
0.167 0.962 0.737
0.833 0.038 0.263
0.426 0.331 0.057
0.675 0.647 0.362
0.574 0.669 0.943
0.325 0.353 0.638
0.663 0.229 0.526
0.000 0.000 0.000
0.337 0.771 0.474
0.953 0.606 0.839
0.047 0.394 0.161
```

=====

b takes first place; second place is 28 meV per atom up.

=====

## a
The following is a DFT calculation (GGA-PBE) of a relaxed La6Nd2Sc crystal.

Calculated values
total magnetic moment: 0.00 Bohr magnetons per cell

Geometry as POSCAR:
```
La6Nd2Sc
1.0
7.501 0.000 0.000
3.751 6.496 0.000
3.751 2.165 6.657
La Nd Sc
6 2 1
Direct
0.783 0.257 0.702
0.257 0.783 0.702
0.257 0.257 0.702
0.047 0.625 0.281
0.047 0.047 0.281
0.625 0.047 0.281
0.747 0.747 0.758
0.581 0.581 0.257
0.320 0.320 0.039
```

=====

## b
The following is a DFT calculation (GGA-PBE) of a relaxed La6Nd2Sc crystal.

Calculated values
total magnetic moment: 0.00 Bohr magnetons per cell

Geometry as POSCAR:
```
La6Nd2Sc
1.0
5.197 0.000 0.000
-2.599 5.513 -1.713
0.000 -0.164 11.004
La Nd Sc
6 2 1
Direct
0.335 0.670 0.947
0.665 0.330 0.053
0.003 0.006 0.171
0.669 0.338 0.394
0.997 0.994 0.829
0.331 0.662 0.606
0.660 0.320 0.716
0.340 0.680 0.284
0.000 0.000 0.500
```

=====

b takes first place; second place is 257 meV per atom up.

=====

## a
The following is a DFT calculation (GGA-PBE) of a relaxed La7Nd2Sc2 crystal.

Calculated values
total magnetic moment: 0.00 Bohr magnetons per cell

Geometry as POSCAR:
```
La7Nd2Sc2
1.0
1.203 6.875 -5.466
-5.727 -1.026 2.185
-2.656 4.646 7.067
La Nd Sc
7 2 2
Direct
0.427 0.177 0.064
0.064 0.823 0.427
0.573 0.823 0.936
0.936 0.177 0.573
0.582 0.368 0.418
0.000 0.000 0.000
0.418 0.632 0.582
0.214 0.850 0.786
0.786 0.150 0.214
0.778 0.500 0.778
0.222 0.500 0.222
```

=====

## b
The following is a DFT calculation (GGA-PBE) of a relaxed La7Nd2Sc2 crystal.

Calculated values
total magnetic moment: 0.00 Bohr magnetons per cell

Geometry as POSCAR:
```
La7Nd2Sc2
1.0
-1.796 5.875 -8.143
1.175 -5.848 -2.921
-5.791 0.520 3.210
La Nd Sc
7 2 2
Direct
0.160 0.932 0.497
0.840 0.503 0.068
0.840 0.068 0.503
0.160 0.497 0.932
0.000 0.000 0.000
0.632 0.892 0.892
0.368 0.108 0.108
0.723 0.482 0.482
0.277 0.518 0.518
0.500 0.271 0.729
0.500 0.729 0.271
```

=====

a takes first place; second place is 19 meV per atom up.

=====

## a
The following is a DFT calculation (GGA-PBE) of a relaxed La4Nd3Sc crystal.

Calculated values
total magnetic moment: 0.00 Bohr magnetons per cell

Geometry as POSCAR:
```
La4Nd3Sc
1.0
-0.437 2.899 1.989
-3.464 6.006 -9.515
-4.360 -6.218 4.950
Sc Nd La
1 3 4
Direct
0.500 0.000 0.000
0.000 0.500 0.000
0.764 0.764 0.528
0.236 0.236 0.472
0.630 0.376 0.260
0.370 0.624 0.740
0.370 0.115 0.739
0.630 0.885 0.261
```

=====

## b
The following is a DFT calculation (GGA-PBE) of a relaxed La4Nd3Sc crystal.

Calculated values
total magnetic moment: 0.00 Bohr magnetons per cell

Geometry as POSCAR:
```
La4Nd3Sc
1.0
-5.056 0.848 2.976
-2.566 -6.711 -2.449
3.947 1.117 6.387
La Nd Sc
4 3 1
Direct
0.000 0.779 0.779
0.500 0.242 0.758
0.000 0.221 0.221
0.500 0.758 0.242
0.000 0.000 0.500
0.500 0.500 0.500
0.000 0.500 0.000
0.500 0.000 0.000
```

=====

a takes first place; second place is 226 meV per atom up.

=====

## a
The following is a DFT calculation (GGA-PBE) of a relaxed La2Nd3Sc crystal.

Calculated values
total magnetic moment: 0.00 Bohr magnetons per cell

Geometry as POSCAR:
```
La2Nd3Sc
1.0
-0.876 3.164 4.710
-9.565 -2.793 0.098
1.658 -5.536 4.027
La Nd Sc
4 6 2
Direct
0.500 0.832 0.256
0.000 0.332 0.244
0.000 0.668 0.756
0.500 0.168 0.744
0.000 0.000 0.000
0.500 0.500 0.500
0.500 0.831 0.749
0.500 0.169 0.251
0.000 0.331 0.751
0.000 0.669 0.249
0.000 0.000 0.500
0.500 0.500 0.000
```

=====

## b
The following is a DFT calculation (GGA-PBE) of a relaxed La2Nd3Sc crystal.

Calculated values
total magnetic moment: 0.00 Bohr magnetons per cell

Geometry as POSCAR:
```
La2Nd3Sc
1.0
-4.506 0.461 5.120
-4.225 -2.176 -8.086
1.644 -6.467 2.030
La Nd Sc
4 6 2
Direct
0.388 0.646 0.368
0.258 0.646 0.868
0.742 0.354 0.132
0.612 0.354 0.632
0.718 0.000 0.750
0.282 0.000 0.250
0.817 0.721 0.976
0.096 0.279 0.524
0.904 0.721 0.476
0.183 0.279 0.024
0.759 0.000 0.250
0.241 0.000 0.750
```

=====

a takes first place; second place is 26 meV per atom up.

=====

## a
The following is a DFT calculation (GGA-PBE) of a relaxed La2Nd4Sc crystal.

Calculated values
total magnetic moment: 0.00 Bohr magnetons per cell

Geometry as POSCAR:
```
La2Nd4Sc
1.0
-3.164 -5.710 4.874
7.310 -2.948 -4.182
-0.320 9.455 5.424
La Nd Sc
4 8 2
Direct
0.528 0.938 0.917
0.376 0.359 0.625
0.799 0.065 0.477
0.305 0.566 0.987
0.734 0.285 0.847
0.949 0.648 0.770
0.589 0.712 0.548
0.015 0.428 0.403
0.444 0.149 0.264
0.877 0.857 0.124
0.160 0.002 0.702
0.222 0.777 0.336
0.653 0.495 0.195
0.099 0.219 0.055
```

=====

## b
The following is a DFT calculation (GGA-PBE) of a relaxed La2Nd4Sc crystal.

Calculated values
total magnetic moment: 0.00 Bohr magnetons per cell

Geometry as POSCAR:
```
La2Nd4Sc
1.0
-0.795 -4.861 3.338
5.921 -1.460 -0.715
-1.469 4.158 5.706
La Nd Sc
2 4 1
Direct
0.500 0.108 0.216
0.500 0.892 0.784
0.500 0.636 0.271
0.000 0.811 0.622
0.500 0.364 0.729
0.000 0.189 0.378
0.000 0.500 0.000
```

=====

a takes first place; second place is 371 meV per atom up.

=====

## a
The following is a DFT calculation (GGA-PBE) of a relaxed La3Nd2Sc crystal.

Calculated values
total magnetic moment: 0.00 Bohr magnetons per cell

Geometry as POSCAR:
```
La3Nd2Sc
1.0
-1.011 2.367 2.282
-3.028 -4.795 3.632
15.247 -2.526 9.378
La Nd Sc
6 4 2
Direct
0.000 0.000 0.000
0.500 0.500 0.500
0.500 0.752 0.816
0.500 0.248 0.184
0.000 0.252 0.684
0.000 0.748 0.316
0.500 0.750 0.144
0.000 0.250 0.356
0.000 0.750 0.644
0.500 0.250 0.856
0.000 0.000 0.500
0.500 0.500 0.000
```

=====

## b
The following is a DFT calculation (GGA-PBE) of a relaxed La3Nd2Sc crystal.

Calculated values
total magnetic moment: 0.00 Bohr magnetons per cell

Geometry as POSCAR:
```
La3Nd2Sc
1.0
5.029 0.002 -1.127
-0.753 10.919 -3.387
-0.857 -1.190 7.999
La Nd Sc
6 4 2
Direct
0.043 0.370 0.085
0.957 0.630 0.915
0.706 0.369 0.413
0.294 0.631 0.587
0.628 0.630 0.256
0.372 0.370 0.744
0.541 0.882 0.082
0.459 0.118 0.918
0.211 0.882 0.421
0.789 0.118 0.579
0.119 0.115 0.239
0.881 0.885 0.761
```

=====

b takes first place; second place is 205 meV per atom up.

=====

## a
The following is a DFT calculation (GGA-PBE) of a relaxed LaTbNdSc crystal.

Calculated values
total magnetic moment: 0.00 Bohr magnetons per cell

Geometry as POSCAR:
```
LaTbNdSc
1.0
3.777 0.000 0.596
0.000 5.775 0.000
0.992 -2.887 6.096
La Tb Nd Sc
1 1 1 1
Direct
0.403 0.139 0.277
0.201 0.871 0.742
0.664 0.411 0.823
0.918 0.644 0.287
```

=====

## b
The following is a DFT calculation (GGA-PBE) of a relaxed LaTbNdSc crystal.

Calculated values
total magnetic moment: 0.00 Bohr magnetons per cell

Geometry as POSCAR:
```
LaTbNdSc
1.0
5.667 0.000 0.000
2.834 4.908 0.000
2.834 1.636 4.627
Sc Nd Tb La
1 1 1 1
Direct
0.750 0.750 0.750
0.000 0.000 0.000
0.250 0.250 0.250
0.500 0.500 0.500
```

=====

a takes first place; second place is 7 meV per atom up.